[1]
4
Lattice="1.870 1.079 6.723 -1.870 1.079 6.723 0.000 -2.159 6.723" Properties=species:S:1:pos:R:3 comment="SbAs2Rh, optimized geometry, DFT PBE" m_tot_mub_per_fu=0.0 sg=R3m mass_density_g_cm3=7.6 raw_formation_energy_ev_per_atom=-0.047 pbc="T T T"
Sb 0.000 0.000 0.000
As 0.000 0.000 5.007
As 0.000 0.000 9.780
Rh 0.000 0.000 15.276

=====

[2]
4
Lattice="4.057 0.000 0.000 0.000 4.057 0.000 0.000 0.000 4.658" Properties=species:S:1:pos:R:3 comment="SbAs2Rh, optimized geometry, DFT PBE" m_tot_mub_per_fu=0.0 sg=P4/mmm mass_density_g_cm3=8.1 raw_formation_energy_ev_per_atom=0.260 pbc="T T T"
Sb 0.000 0.000 0.000
As 0.000 2.028 2.329
As 2.028 0.000 2.329
Rh 2.028 2.028 0.000

=====

[3]
3
Lattice="-1.568 1.568 6.106 1.568 -1.568 6.106 1.568 1.568 -6.106" Properties=species:S:1:pos:R:3 comment="SbAsRh, optimized geometry, DFT PBE" e_above_lowest_polymorph_kj_per_mol_fu=95 m_tot_mub_per_fu=0.0 sg=I4mm mass_density_g_cm3=8.3 raw_formation_energy_ev_per_atom=-0.187 pbc="T T T"
Sb 0.000 0.000 0.000
As 0.000 0.000 8.977
Rh 0.000 0.000 4.237